Here is crystalline TaMnOs at its relaxed geometry from Alexandria. Energies are from PBE.

Summary:
Space group: I4mm (107)
Mass density, g/cm³: 16.20
Energy relative to the elements, kJ/mol of atoms: -4

Cell: 6.054 6.054 6.054 Å, 153.64 153.64 37.62°
Sites, in units of the cell vectors:
1 Mn 0.986 0.986 0.000
2 Os 0.352 0.352 0.000
3 Ta 0.662 0.662 0.000